Computed, not measured: an optimized crystal structure of Ce5Ga3Sn at the GGA-PBE level of DFT.

a = 6.3357 Å, b = 9.1758 Å, c = 9.1748 Å
α = 120.00°, β = 90.00°, γ = 90.00°
Each line ends with the local moment (μB).
Atoms (fractional coordinates):
Ce (0.0000, 0.6666, 0.3332)  1.01
Ce (0.5000, 0.3334, 0.6668)  1.01
Ce (0.0000, 0.3334, 0.6668)  1.01
Ce (0.5000, 0.6666, 0.3332)  1.01
Ce (0.7500, 0.6993, 0.6993)  0.75
Ce (0.7500, 0.0000, 0.3007)  0.75
Ce (0.7500, 0.3007, 0.0000)  0.75
Ce (0.2500, 0.3007, 0.3007)  0.75
Ce (0.2500, 0.0000, 0.6993)  0.75
Ce (0.2500, 0.6993, 0.0000)  0.75
Ga (0.7500, 0.3651, 0.3651)  0.00
Ga (0.7500, 0.0000, 0.6349)  0.00
Ga (0.7500, 0.6348, 0.0000)  0.00
Ga (0.2500, 0.6349, 0.6349)  0.00
Ga (0.2500, 0.0000, 0.3651)  0.00
Ga (0.2500, 0.3652, 0.0000)  0.00
Sn (0.0000, 0.0000, 0.0000)  0.03
Sn (0.5000, 0.0000, 0.0000)  0.03

Computed properties:
E_tot (eV/atom): -5.17
DOS(E_F) (states/eV per cell): 40.16
M_tot (Bohr magnetons per cell): 11.75